PmHoErLu: relaxed, PBE.

VASP energy = -71.793 eV/cell

Cell: 7.9695 7.9695 7.9695 Å, 90.00 90.00 90.00°
Last column: nearest neighbours and their distance in Å.
Space group F-43m (No. 216)
Unique sites:
Pm  0.0000  0.0000  0.0000  4 Er 3.45, 4 Lu 3.45
Ho  0.0000  0.0000  0.5000  4 Er 3.45, 4 Lu 3.45
Er  0.2500  0.2500  0.2500  4 Ho 3.45, 4 Pm 3.45
Lu  0.2500  0.2500  0.7500  4 Ho 3.45, 4 Pm 3.45

HoErLuPu: relaxed, PBE.

VASP energy = -109.181 eV/cell

Cell: 7.8053 7.8053 7.8053 Å, 90.00 90.00 90.00°
Last column: nearest neighbours and their distance in Å.
Space group F-43m (No. 216)
Unique sites:
Ho  0.0000  0.0000  0.0000  4 Lu 3.38, 4 Er 3.38
Er  0.2500  0.2500  0.2500  4 Ho 3.38, 4 Pu 3.38
Lu  0.2500  0.2500  0.7500  4 Pu 3.38, 4 Ho 3.38
Pu  0.0000  0.0000  0.5000  4 Er 3.38, 4 Lu 3.38

HoErLuRu: relaxed, PBE.

VASP energy = -91.276 eV/cell

Cell: 7.2110 7.2110 7.2110 Å, 90.00 90.00 90.00°
Last column: nearest neighbours and their distance in Å.
Space group F-43m (No. 216)
Unique sites:
Ho  0.0000  0.0000  0.0000  4 Lu 3.12, 4 Ru 3.12
Er  0.0000  0.0000  0.5000  4 Ru 3.12, 4 Lu 3.12
Lu  0.2500  0.2500  0.2500  4 Ho 3.12, 4 Er 3.12
Ru  0.2500  0.2500  0.7500  4 Ho 3.12, 4 Er 3.12

SmHoErLu: relaxed, PBE.

VASP energy = -71.597 eV/cell

Cell: 7.9567 7.9567 7.9567 Å, 90.00 90.00 90.00°
Last column: nearest neighbours and their distance in Å.
Space group F-43m (No. 216)
Unique sites:
Sm  0.0000  0.0000  0.0000  4 Er 3.45, 4 Lu 3.45
Ho  0.0000  0.0000  0.5000  4 Er 3.45, 4 Lu 3.45
Er  0.2500  0.2500  0.2500  4 Ho 3.45, 4 Sm 3.45
Lu  0.2500  0.2500  0.7500  4 Ho 3.45, 4 Sm 3.45

YHoErLu: relaxed, PBE.

VASP energy = -78.356 eV/cell

Cell: 7.9442 7.9442 7.9442 Å, 90.00 90.00 90.00°
Last column: nearest neighbours and their distance in Å.
Space group F-43m (No. 216)
Unique sites:
Y  0.0000  0.0000  0.0000  4 Er 3.44, 4 Lu 3.44
Ho  0.0000  0.0000  0.5000  4 Er 3.44, 4 Lu 3.44
Er  0.2500  0.2500  0.7500  4 Ho 3.44, 4 Y 3.44
Lu  0.2500  0.2500  0.2500  4 Ho 3.44, 4 Y 3.44

Ho8ErMg2: relaxed, PBE.

Energy relative to the lowest polymorph listed for this composition = 0 meV/atom

Cell: 16.4212 5.2900 8.3336 Å, 90.00 115.52 90.00°
Last column: nearest neighbours and their distance in Å.
Space group C2/m (No. 12)
Unique sites:
Ho  0.0568  0.0000  0.2350  1 Mg 3.28, 7 Ho 3.40-3.60
Ho  0.0999  0.5000  0.9705  3 Mg 3.27-3.28, 4 Ho 3.52-3.63, 1 Er 3.54
Ho  0.1467  0.0000  0.7018  3 Mg 3.21-3.28, 2 Ho 3.46-3.52, 2 Er 3.48
Ho  0.1878  0.5000  0.4511  1 Mg 3.17, 5 Ho 3.22-3.46, 1 Er 3.28
Er  0.0000  0.5000  0.5000  8 Ho 3.28-3.54
Mg  0.2272  0.0000  0.1282  8 Ho 3.17-3.28

HoEr2Mg6: relaxed, PBE.

Energy relative to the lowest polymorph listed for this composition = 516 meV/atom

Cell: 6.1501 6.1501 15.0162 Å, 90.00 90.00 90.00°
Last column: nearest neighbours and their distance in Å.
Space group I-42m (No. 121)
Unique sites:
Ho  0.0000  0.0000  0.0000  2 Er 3.15, 4 Mg 3.22
Er  0.0000  0.0000  0.2098  8 Mg 3.13-3.35, 1 Ho 3.15
Mg  0.0000  0.5000  0.2500  4 Er 3.13, 4 Mg 3.26
Mg  0.1688  0.1688  0.5953  3 Mg 2.94-3.26, 1 Ho 3.22, 1 Er 3.27

Ho7Er3Mg: relaxed, PBE.

VASP energy = -45.136 eV/cell

Cell: 6.9267 6.9267 8.4807 Å, 90.00 90.00 120.00°
Last column: nearest neighbours and their distance in Å.
Space group P3m1 (No. 156)
Unique sites:
Ho  0.0000  0.0000  0.0000  9 Ho 3.42-3.46, 3 Er 3.44
Ho  0.1637  0.3275  0.3308  7 Ho 3.40-3.52, 2 Mg 3.46, 2 Er 3.48
Ho  0.5003  0.0006  0.0026  1 Mg 3.43, 8 Ho 3.44-3.47, 2 Er 3.47
Er  0.3301  0.1651  0.6690  4 Er 3.43-3.50, 5 Ho 3.44-3.48, 1 Mg 3.51
Mg  0.6667  0.3333  0.3308  9 Ho 3.43-3.46, 3 Er 3.51

Ho3Er6Mg: relaxed, PBE.

Energy relative to the lowest polymorph listed for this composition = 0 meV/atom

Cell: 10.9960 4.9526 11.0486 Å, 90.00 90.25 90.00°
Last column: nearest neighbours and their distance in Å.
Space group P2_1/m (No. 11)
Unique sites:
Ho  0.0511  0.2500  0.4002  8 Er 3.48-3.53, 4 Ho 3.48-3.50
Ho  0.1519  0.7500  0.2029  8 Er 3.48-3.54, 4 Ho 3.48-3.50
Ho  0.2515  0.2500  0.0026  10 Er 3.46-3.51, 2 Ho 3.50
Er  0.0513  0.7500  0.8979  5 Er 3.45-3.54, 7 Ho 3.48-3.54
Er  0.1524  0.2500  0.7002  6 Er 3.48-3.50, 1 Mg 3.48, 5 Ho 3.49-3.52
Er  0.2536  0.7500  0.5013  3 Mg 3.43-3.47, 5 Er 3.47-3.50, 4 Ho 3.48-3.53
Er  0.3498  0.7500  0.8024  8 Er 3.45-3.49, 2 Ho 3.49, 2 Mg 3.53
Er  0.3519  0.2500  0.3044  3 Mg 3.43-3.45, 5 Er 3.47-3.53, 4 Ho 3.48-3.51
Er  0.4513  0.7500  0.1001  4 Ho 3.46-3.49, 7 Er 3.47-3.53, 1 Mg 3.49
Mg  0.4517  0.2500  0.5987  10 Er 3.43-3.53, 2 Mg 3.47

HoEr2Mg4: relaxed, PBE.

Energy relative to the lowest polymorph listed for this composition = 251 meV/atom

Cell: 5.9391 12.9258 5.4089 Å, 90.00 90.00 90.00°
Last column: nearest neighbours and their distance in Å.
Space group Cmmm (No. 65)
Unique sites:
Ho  0.0000  0.0000  0.0000  6 Mg 3.11-3.15
Er  0.0000  0.3691  0.5000  5 Mg 2.97-3.23
Mg  0.0000  0.1193  0.5000  3 Er 2.97-3.23, 3 Mg 3.08-3.15, 2 Ho 3.11
Mg  0.0000  0.2438  0.0000  4 Mg 2.97-3.15, 1 Ho 3.15, 2 Er 3.15

HoEr4Mg7: relaxed, PBE.

Energy relative to the lowest polymorph listed for this composition = 0 meV/atom

Cell: 5.2770 5.2770 13.1254 Å, 90.00 90.00 120.00°
Last column: nearest neighbours and their distance in Å.
Space group P-3m1 (No. 164)
Unique sites:
Ho  0.0000  0.0000  0.0000  8 Mg 3.23-3.44
Er  0.3333  0.6667  0.1611  7 Mg 3.20-3.32, 1 Er 3.43
Er  0.3333  0.6667  0.4223  7 Mg 3.21-3.40, 1 Er 3.43
Mg  0.0000  0.0000  0.2618  4 Mg 3.13-3.14, 3 Er 3.32, 1 Ho 3.44
Mg  0.0000  0.0000  0.5000  2 Mg 3.13, 6 Er 3.21
Mg  0.3333  0.6667  0.6810  4 Mg 3.10-3.14, 4 Er 3.34-3.40
Mg  0.3333  0.6667  0.9174  1 Mg 3.10, 4 Er 3.20-3.22, 3 Ho 3.23

Ho5Er3Mg2: relaxed, PBE.

VASP energy = -145.669 eV/cell

Cell: 12.6733 15.7597 6.2683 Å, 90.00 90.00 90.00°
Last column: nearest neighbours and their distance in Å.
Space group Ibam (No. 72)
Unique sites:
Ho  0.0000  0.0000  0.2500  4 Ho 3.13-3.20
Ho  0.1528  0.1603  0.0000  1 Mg 2.98, 2 Ho 3.23
Ho  0.2479  0.5000  0.2500  5 Ho 3.13-3.23, 1 Er 3.14, 2 Mg 3.19
Er  0.0000  0.5000  0.2500  2 Er 3.13, 2 Ho 3.14, 4 Mg 3.33
Er  0.0960  0.2387  0.5000  4 Ho 3.39-3.56, 4 Mg 3.41-3.67
Mg  0.1359  0.3487  0.0000  3 Ho 2.98-3.19, 2 Er 3.33

HoEr4Mg5: relaxed, PBE.

VASP energy = -31.484 eV/cell

Cell: 3.7736 3.7736 18.7669 Å, 90.00 90.00 90.00°
Last column: nearest neighbours and their distance in Å.
Space group P4/mmm (No. 123)
Unique sites:
Ho  0.0000  0.0000  0.0000  8 Mg 3.27
Er  0.0000  0.0000  0.2003  8 Mg 3.26
Er  0.0000  0.0000  0.4001  8 Mg 3.26
Mg  0.5000  0.5000  0.1006  4 Er 3.26, 4 Ho 3.27
Mg  0.5000  0.5000  0.3002  8 Er 3.26
Mg  0.5000  0.5000  0.5000  8 Er 3.26

Ho3ErMg2: relaxed, PBE.

VASP energy = -21.690 eV/cell

Cell: 3.6059 3.6059 13.1126 Å, 90.00 90.00 90.00°
Last column: nearest neighbours and their distance in Å.
Space group P4/mmm (No. 123)
Unique sites:
Ho  0.0000  0.0000  0.0000  8 Mg 3.27, 4 Ho 3.61
Ho  0.0000  0.0000  0.3160  4 Mg 3.30, 4 Er 3.51, 4 Ho 3.61
Er  0.5000  0.5000  0.5000  8 Ho 3.51, 4 Er 3.61
Mg  0.5000  0.5000  0.1559  8 Ho 3.27-3.30, 4 Mg 3.61

Ho3Er2Mg7: relaxed, PBE.

VASP energy = -64.973 eV/cell

Cell: 5.1197 25.7986 5.1174 Å, 90.00 90.00 90.00°
Last column: nearest neighbours and their distance in Å.
Space group Cmmm (No. 65)
Unique sites:
Ho  0.0000  0.0000  0.0000  8 Mg 3.16-3.17
Ho  0.0000  0.1575  0.0000  6 Mg 3.16-3.38
Er  0.0000  0.3555  0.5000  7 Mg 3.17-3.37
Mg  0.0000  0.0719  0.5000  4 Ho 3.16-3.38, 2 Mg 3.16, 2 Er 3.17
Mg  0.0000  0.2293  0.5000  2 Mg 2.77
Mg  0.0000  0.4278  0.0000  2 Mg 3.17, 2 Er 3.17, 4 Ho 3.17-3.38
Mg  0.0000  0.5000  0.5000  8 Mg 3.16-3.17

Ho2Er3Mg7: relaxed, PBE.

VASP energy = -64.829 eV/cell

Cell: 5.1181 25.8573 5.1110 Å, 90.00 90.00 90.00°
Last column: nearest neighbours and their distance in Å.
Space group Cmmm (No. 65)
Unique sites:
Ho  0.0000  0.1445  0.0000  7 Mg 3.17-3.36
Er  0.0000  0.3435  0.5000  6 Mg 3.17-3.37
Er  0.0000  0.5000  0.5000  8 Mg 3.15-3.16
Mg  0.0000  0.0000  0.0000  8 Mg 3.16
Mg  0.0000  0.0718  0.5000  2 Mg 3.16, 4 Er 3.16-3.37, 2 Ho 3.17
Mg  0.0000  0.2711  0.0000  2 Mg 2.78
Mg  0.0000  0.4285  0.0000  4 Er 3.15-3.37, 2 Mg 3.16, 2 Ho 3.18

Ho4Er4Mg: relaxed, PBE.

Energy relative to the lowest polymorph listed for this composition = 3 meV/atom

Cell: 10.4198 10.4198 4.9775 Å, 90.00 90.00 90.00°
Last column: nearest neighbours and their distance in Å.
Space group I4/mmm (No. 139)
Unique sites:
Ho  0.1672  0.1672  0.0000  6 Er 3.47-3.50, 4 Ho 3.48-3.49, 2 Mg 3.50
Er  0.0000  0.3336  0.5000  5 Er 3.47-3.49, 6 Ho 3.47-3.50, 1 Mg 3.48
Mg  0.0000  0.0000  0.5000  4 Er 3.48, 8 Ho 3.50

HoEr2Mg8: relaxed, PBE.

VASP energy = -51.474 eV/cell

Cell: 5.2821 7.8045 13.9095 Å, 90.00 90.00 90.00°
Last column: nearest neighbours and their distance in Å.
Space group Immm (No. 71)
Unique sites:
Ho  0.0000  0.0000  0.0000  8 Mg 3.06-3.39
Er  0.0000  0.0000  0.2867  10 Mg 3.21-3.37
Mg  0.0000  0.2055  0.5000  7 Mg 3.13-3.24, 2 Er 3.37, 2 Ho 3.50
Mg  0.0000  0.3100  0.1346  4 Mg 2.97-3.31, 1 Ho 3.06, 3 Er 3.21-3.22
Mg  0.0000  0.5000  0.3474  4 Mg 3.13-3.31, 2 Er 3.23, 2 Ho 3.39

Ho3Er2Mg: relaxed, PBE.

Energy relative to the lowest polymorph listed for this composition = 37 meV/atom

Cell: 17.0427 6.9170 6.0585 Å, 90.00 90.79 90.00°
Last column: nearest neighbours and their distance in Å.
Space group C2/c (No. 15)
Unique sites:
Ho  0.0000  0.1323  0.2500  4 Mg 3.43-3.49, 4 Er 3.46-3.50, 4 Ho 3.48-3.54
Ho  0.1673  0.3744  0.0800  6 Er 3.44-3.51, 4 Ho 3.45-3.49, 2 Mg 3.46-3.51
Er  0.1665  0.1227  0.5836  8 Ho 3.44-3.51, 3 Er 3.47-3.51, 1 Mg 3.48
Mg  0.0000  0.3721  0.7500  8 Ho 3.43-3.51, 2 Er 3.48, 2 Mg 3.51

Ho2Er3Mg3: relaxed, PBE.

VASP energy = -56.053 eV/cell

Cell: 3.7222 5.3827 22.2320 Å, 90.00 90.00 90.00°
Last column: nearest neighbours and their distance in Å.
Space group Immm (No. 71)
Unique sites:
Ho  0.0000  0.0000  0.2348  2 Mg 3.23, 4 Ho 3.34
Er  0.0000  0.0000  0.0000  8 Mg 3.18-3.27
Er  0.0000  0.5000  0.1257  6 Mg 3.28-3.36, 4 Ho 3.62
Mg  0.0000  0.0000  0.5000  8 Er 3.27-3.36
Mg  0.0000  0.5000  0.3838  6 Er 3.18-3.28, 2 Ho 3.23